! PaTl2GaO6 | Alexandria | PBE-GGA | relaxed; values from VASP
&SYSTEM
  ibrav = 0, nat = 10, ntyp = 4
/
ATOMIC_SPECIES
O 16.00 O.upf
Tl 204.38 Tl.upf
Ga 69.72 Ga.upf
Pa 231.04 Pa.upf
ATOMIC_POSITIONS angstrom
O 4.3919 0.9946 1.3700
Tl 5.7291 3.3077 1.5218
O 1.5301 0.6610 1.3708
O 6.3959 1.7387 4.0221
Tl 2.8643 1.6539 4.5480
Ga 2.8644 1.6537 0.2638
O 4.0364 3.5148 4.0224
Pa 8.5936 4.9616 2.7540
O 6.7544 4.6704 4.0218
O 2.6722 3.3060 1.3704
CELL_PARAMETERS angstrom
5.7291 0.0000 0.0001
2.8645 4.9616 -0.0001
2.8645 1.6540 5.0377
! * space-group type: R3, No. 146
! * calculated density: 9341 kg/m³
! * N(E_F): 0.02 states/eV/atom
! * M_tot: 0.000 μB per cell
! * formation energy without anion corrections: -18.4 eV/f.u.
! * energy: -6.54 eV/atom

***

! PaTl2Ga2O6 | Alexandria | PBE-GGA | relaxed; values from VASP
&SYSTEM
  ibrav = 0, nat = 11, ntyp = 4
/
ATOMIC_SPECIES
O 16.00 O.upf
Pa 231.04 Pa.upf
Ga 69.72 Ga.upf
Tl 204.38 Tl.upf
ATOMIC_POSITIONS angstrom
O -1.1652 2.7921 4.4481
O -4.0824 3.7304 4.1325
O -2.8010 -3.2605 1.1627
O -3.3255 0.8203 3.5193
Pa -2.6328 2.7352 2.8091
Ga -0.0546 0.2769 1.3284
Ga -3.9116 -0.7452 4.2824
Tl -0.5138 0.1013 5.0507
O 0.1162 -4.1987 1.4783
Tl -3.4525 -0.5696 0.5601
O -0.6407 -1.2886 2.0915
CELL_PARAMETERS angstrom
-5.7547 1.8509 -0.6225
1.2994 -5.9387 -0.0073
0.4891 3.6195 6.2406
! * space-group type: C2/m, No. 12
! * calculated density: 7516 kg/m³
! * N(E_F): 0.14 states/eV/atom
! * M_tot: 0.938 μB per cell
! * formation energy without anion corrections: -21.1 eV/f.u.
! * energy: -6.47 eV/atom

***

! PaTl2GaO8 | Alexandria | PBE-GGA | relaxed; values from VASP
&SYSTEM
  ibrav = 0, nat = 12, ntyp = 4
/
ATOMIC_SPECIES
O 16.00 O.upf
Tl 204.38 Tl.upf
Ga 69.72 Ga.upf
Pa 231.04 Pa.upf
ATOMIC_POSITIONS angstrom
O 0.3291 2.3798 0.9757
O 3.8024 4.2743 0.9757
Tl 3.0368 0.4193 2.3588
O 1.3879 -0.5192 1.4530
Ga -0.9711 2.9078 2.3588
O 0.0787 1.9766 3.7419
O 3.1467 2.3134 3.2646
O 4.6857 1.3578 1.4530
O 2.9270 -1.4748 3.2646
O -0.0787 -1.9766 3.7419
Pa 0.0000 0.0000 0.0000
Tl 2.0657 3.3270 0.0000
CELL_PARAMETERS angstrom
6.0736 0.8386 0.0000
-1.9422 5.8155 0.0000
-2.0657 -3.3270 4.7176
! * space-group type: I-4m2, No. 119
! * calculated density: 7978 kg/m³
! * N(E_F): 0.57 states/eV/atom
! * M_tot: 1.350 μB per cell
! * formation energy without anion corrections: -15.6 eV/f.u.
! * energy: -6.04 eV/atom

***

! PaTl3Ga2O9 | Alexandria | PBE-GGA | relaxed; values from VASP
&SYSTEM
  ibrav = 0, nat = 15, ntyp = 4
/
ATOMIC_SPECIES
O 16.00 O.upf
Ga 69.72 Ga.upf
Pa 231.04 Pa.upf
Tl 204.38 Tl.upf
ATOMIC_POSITIONS angstrom
O -1.4024 4.1134 2.3004
Ga 2.8611 1.6519 6.0364
Pa 0.0000 0.0000 3.6412
O 1.4588 0.8422 4.9820
O 1.4306 2.4778 0.0000
Tl 2.8611 1.6519 1.8542
O -1.4306 2.4778 0.0000
O 2.8611 3.2712 4.9820
Ga 0.0000 3.3037 1.2459
O 1.4024 4.1134 2.3004
Tl 0.0000 3.3037 5.4282
O 4.2635 0.8422 4.9820
O 2.8611 0.0000 0.0000
Tl 0.0000 0.0000 0.0000
O 0.0000 1.6844 2.3004
CELL_PARAMETERS angstrom
5.7222 0.0000 0.0000
-2.8611 4.9556 0.0000
0.0000 0.0000 7.2824
! * space-group type: P-3m1, No. 164
! * calculated density: 9067 kg/m³
! * N(E_F): 0.16 states/eV/atom
! * M_tot: 0.000 μB per cell
! * formation energy without anion corrections: -22.4 eV/f.u.
! * energy: -5.98 eV/atom

***

! TmPaGa2O8 | Alexandria | PBE-GGA | relaxed; values from VASP
&SYSTEM
  ibrav = 0, nat = 12, ntyp = 4
/
ATOMIC_SPECIES
Ga 69.72 Ga.upf
O 16.00 O.upf
Tm 168.93 Tm.upf
Pa 231.04 Pa.upf
ATOMIC_POSITIONS angstrom
Ga 1.7701 2.8510 0.0000
O 4.4596 0.7108 1.5211
Ga 2.9813 0.1240 2.4674
O 2.8516 1.7092 3.4138
O 0.0895 -1.5978 4.0160
O 0.2984 2.2226 0.9188
Tm -1.2112 2.7270 2.4674
O 3.1110 -1.4612 3.4138
O -0.0895 1.5978 4.0160
O 1.5030 -0.4628 1.5211
Pa 0.0000 0.0000 0.0000
O 3.2419 3.4794 0.9188
CELL_PARAMETERS angstrom
5.9626 0.2480 0.0000
-2.4223 5.4540 0.0000
-1.7701 -2.8510 4.9348
! * space-group type: I-4m2, No. 119
! * calculated density: 6781 kg/m³
! * N(E_F): 0.93 states/eV/atom
! * M_tot: 1.619 μB per cell
! * formation energy without anion corrections: -28.5 eV/f.u.
! * energy: -7.35 eV/atom